This record from the Alexandria database describes crystalline Rb2Mo2O7 at its relaxed geometry. The functional is PBE with a Hubbard U.

The density of states at the Fermi level comes out at 0.000 states/eV/f.u. The total energy comes out at -282.2 eV/cell. The space group is Ama2. Its relative energy among the computed polymorphs is 3 meV per atom.

POSCAR file:
```
Rb2Mo2O7
1.0
-1.8903 -7.8135 2.5278
8.1847 -0.6214 -1.9071
2.8944 3.0020 11.4439
Rb Mo O
8 8 28
direct
0.2843 0.7141 0.2500 Rb
0.7141 0.2843 0.7500 Rb
0.7224 0.2331 0.2500 Rb
0.9898 0.9898 0.0000 Rb
0.2331 0.7224 0.7500 Rb
0.2527 0.2269 0.2500 Rb
0.9898 0.9898 0.5000 Rb
0.2269 0.2527 0.7500 Rb
0.9771 0.4761 0.4878 Mo
0.8226 0.7515 0.2500 Mo
0.4761 0.9771 0.5122 Mo
0.5679 0.5679 0.5000 Mo
0.5679 0.5679 0.0000 Mo
0.9771 0.4761 0.0122 Mo
0.4761 0.9771 0.9878 Mo
0.7515 0.8226 0.7500 Mo
0.7561 0.7065 0.6237 O
0.0953 0.6727 0.0399 O
0.0195 0.4278 0.6248 O
0.4807 0.4477 0.8891 O
0.4477 0.4807 0.1109 O
0.6727 0.0953 0.9601 O
0.5743 0.9022 0.7500 O
0.4652 0.7507 0.9720 O
0.7065 0.7561 0.1237 O
0.0296 0.3253 0.4016 O
0.4278 0.0195 0.3752 O
0.3253 0.0296 0.9016 O
0.7507 0.4652 0.4720 O
0.9279 0.9850 0.7500 O
0.4477 0.4807 0.3891 O
0.7507 0.4652 0.0280 O
0.0953 0.6727 0.4601 O
0.0296 0.3253 0.0984 O
0.4652 0.7507 0.5280 O
0.0195 0.4278 0.8752 O
0.3253 0.0296 0.5984 O
0.6727 0.0953 0.5399 O
0.4807 0.4477 0.6109 O
0.4278 0.0195 0.1248 O
0.7561 0.7065 0.8763 O
0.7065 0.7561 0.3763 O
0.9850 0.9279 0.2500 O
0.9022 0.5743 0.2500 O
```